Entry from the Alexandria database: an optimized crystal structure of Pr2Dy3Ho6 (PBE-GGA).

Space group   No. 12
Energy above the most stable polymorph in this dataset   0.0 kJ/mol of atoms
ΔE_f   181 meV per atom

a = 6.1038 Å, b = 6.1095 Å, c = 11.7148 Å
α = 84.97°, β = 79.90°, γ = 60.03°
With the nearest neighbours (Å) after each atom.
Sites, in units of the cell vectors:
Ho  0.7489  0.0000  0.7538  3 Dy 3.48-3.49, 6 Ho 3.52-3.53, 2 Pr 3.57
Ho  0.2511  0.0000  0.2462  3 Dy 3.48-3.49, 6 Ho 3.52-3.53, 2 Pr 3.57
Ho  0.4154  0.6666  0.7538  3 Dy 3.49-3.50, 6 Ho 3.52-3.53, 2 Pr 3.56-3.57
Ho  0.0821  0.3334  0.7538  3 Dy 3.49-3.50, 6 Ho 3.52-3.53, 2 Pr 3.56-3.57
Ho  0.5846  0.3334  0.2462  3 Dy 3.49-3.50, 6 Ho 3.52-3.53, 2 Pr 3.56-3.57
Dy  0.6650  0.6701  0.0000  6 Ho 3.48-3.50, 6 Dy 3.49-3.55
Pr  0.1668  0.6664  0.5000  3 Pr 3.52-3.53, 6 Ho 3.56-3.57
Dy  0.3350  0.3299  0.0000  6 Ho 3.48-3.50, 6 Dy 3.49-3.55
Pr  0.8332  0.3336  0.5000  3 Pr 3.52-3.53, 6 Ho 3.56-3.57
Ho  0.9179  0.6666  0.2462  3 Dy 3.49-3.50, 6 Ho 3.52-3.53, 2 Pr 3.56-3.57
Dy  0.0000  0.0000  0.0000  6 Ho 3.49, 6 Dy 3.52-3.55

=====

Entry from the Alexandria database: an optimized crystal structure of Ac5PrNi4 (PBE-GGA).

Space group   No. 65
ΔE_f   -170 meV per atom

a = 4.1808 Å, b = 8.1557 Å, c = 9.4150 Å
α = 90.01°, β = 102.82°, γ = 90.00°
With the nearest neighbours (Å) after each atom.
Sites, in units of the cell vectors:
Ni  0.2919  0.0000  0.5834  2 Ni 2.59
Ni  0.0000  0.7528  0.9999  2 Pr 2.90, 4 Ac 2.94-2.95
Ac  0.8389  0.2415  0.6785  4 Ni 2.95-3.11
Ni  0.0000  0.2472  0.0001  2 Pr 2.90, 4 Ac 2.94-2.95
Ac  0.1611  0.7585  0.3215  4 Ni 2.95-3.11
Pr  0.5000  0.0000  0.0000  4 Ni 2.90
Ac  0.1612  0.2417  0.3218  4 Ni 2.95-3.11
Ac  0.5000  0.5000  0.0000  4 Ni 2.94
Ni  0.7081  0.0000  0.4166  2 Ni 2.59
Ac  0.8388  0.7583  0.6782  4 Ni 2.95-3.11

=====

Entry from the Alexandria database: an optimized crystal structure of BaCoIN2 (PBE-GGA).

Space group   No. 123
Energy above the most stable polymorph in this dataset   0.0 kJ/mol of atoms

a = 4.3889 Å, b = 4.3889 Å, c = 5.2076 Å
α = 90.00°, β = 90.00°, γ = 90.00°
With the nearest neighbours (Å) after each atom.
Sites, in units of the cell vectors:
I  0.0000  0.0000  0.5000  2 Co 2.60
Ba  0.5000  0.5000  0.5000  4 I 3.10, 8 N 3.41
Co  0.0000  0.0000  0.0000  4 N 2.19
N  0.5000  0.0000  0.0000  2 Co 2.19
N  0.0000  0.5000  0.0000  2 Co 2.19

=====

Entry from the Alexandria database: an optimized crystal structure of Ta2ZnBr (PBE-GGA).

Space group   No. 225
Energy above the most stable polymorph in this dataset   48.7 kJ/mol of atoms

a = 4.5910 Å, b = 4.5910 Å, c = 4.5910 Å
α = 60.00°, β = 60.00°, γ = 60.00°
With the nearest neighbours (Å) after each atom.
Sites, in units of the cell vectors:
Ta  0.7500  0.7500  0.7500  4 Br 2.81, 4 Zn 2.81
Ta  0.2500  0.2500  0.2500  4 Br 2.81, 4 Zn 2.81
Br  0.5000  0.5000  0.5000  8 Ta 2.81
Zn  0.0000  0.0000  0.0000  8 Ta 2.81

=====

Entry from the Alexandria database: an optimized crystal structure of AcLaTb2S4 (PBE-GGA).

Space group   No. 10
E   -6.3907 eV/atom

a = 4.0129 Å, b = 7.2223 Å, c = 6.9925 Å
α = 71.32°, β = 90.00°, γ = 90.00°
With the nearest neighbours (Å) after each atom.
Sites, in units of the cell vectors:
Tb  0.5000  0.0000  0.5000  6 S 2.77-2.78
S  0.5000  0.7727  0.2457  3 Tb 2.78-2.80, 2 La 2.97, 1 Ac 3.00
La  0.0000  0.5000  0.5000  6 S 2.97-2.98
S  0.5000  0.2273  0.7543  3 Tb 2.78-2.80, 2 La 2.97, 1 Ac 3.00
S  0.0000  0.2241  0.2624  3 Tb 2.77-2.81, 1 La 2.98, 2 Ac 3.00
S  0.0000  0.7759  0.7376  3 Tb 2.77-2.81, 1 La 2.98, 2 Ac 3.00
Ac  0.5000  0.5000  0.0000  6 S 3.00
Tb  0.0000  0.0000  0.0000  6 S 2.80-2.81

=====

Entry from the Alexandria database: an optimized crystal structure of TbSc3Zn2 (PBE-GGA).

Space group   No. 123
Energy above the most stable polymorph in this dataset   0.6 kJ/mol of atoms
ΔE_f   -227 meV per atom

a = 3.3711 Å, b = 3.3711 Å, c = 11.5719 Å
α = 90.00°, β = 90.00°, γ = 90.00°
With the nearest neighbours (Å) after each atom.
Sites, in units of the cell vectors:
Zn  0.5000  0.5000  0.1432  8 Sc 2.90
Sc  0.0000  0.0000  0.7138  4 Zn 2.90
Sc  0.0000  0.0000  0.0000  8 Zn 2.90
Zn  0.5000  0.5000  0.8568  8 Sc 2.90
Sc  0.0000  0.0000  0.2862  4 Zn 2.90
Tb  0.5000  0.5000  0.5000  4 Tb 3.37, 8 Sc 3.44

=====

Entry from the Alexandria database: an optimized crystal structure of LaGd2Pa (PBE-GGA).

Space group   No. 123
Energy above the most stable polymorph in this dataset   0.0 kJ/mol of atoms
ΔE_f   124 meV per atom

a = 3.4371 Å, b = 3.4371 Å, c = 10.4427 Å
α = 90.00°, β = 90.00°, γ = 90.00°
With the nearest neighbours (Å) after each atom.
Sites, in units of the cell vectors:
Pa  0.5000  0.5000  0.5000  8 Gd 3.37, 4 Pa 3.44
Gd  0.0000  0.0000  0.2771  4 Pa 3.37, 4 Gd 3.44
Gd  0.0000  0.0000  0.7229  4 Pa 3.37, 4 Gd 3.44
La  0.5000  0.5000  0.0000  4 La 3.44, 8 Gd 3.78

=====

Entry from the Alexandria database: an optimized crystal structure of PmEuSiAg (PBE-GGA).

Space group   No. 216
E   -6.2338 eV/atom

a = 5.2239 Å, b = 5.2239 Å, c = 5.2239 Å
α = 60.00°, β = 60.00°, γ = 60.00°
With the nearest neighbours (Å) after each atom.
Sites, in units of the cell vectors:
Eu  0.7500  0.7500  0.7500  4 Ag 3.20, 4 Si 3.20
Si  0.0000  0.0000  0.0000  4 Eu 3.20, 4 Pm 3.20
Ag  0.5000  0.5000  0.5000  4 Pm 3.20, 4 Eu 3.20
Pm  0.2500  0.2500  0.2500  4 Si 3.20, 4 Ag 3.20